Entry 1:
VASP calculation (PBE) on a relaxed Li2Ag2HgAu2 crystal.

The calculation puts the formation energy at -224 meV/atom. The value obtained for the mass density is 11.1 g/cm³. As for the total moment: 0.00 μB/f.u. The value obtained for the raw total energy is -2.565 eV per atom.

The space group is R-3m (No. 166, hexagonal axes) and the conventional cell measures 4.6241, 4.6241 and 19.9839 Å, with angles of 90.00, 90.00 and 120.00 degrees. The inequivalent atoms are Li at (0.0000, 0.0000, 0.2221), Ag at (0.0000, 0.0000, 0.0750), Hg at (0.0000, 0.0000, 0.5000) and Au at (0.0000, 0.0000, 0.3573).

=====

Entry 2:
VASP calculation (PBE) on a relaxed Li5AgHg2Au2 crystal.

The calculation puts the formation energy at -305 meV/atom. The value obtained for the mass density is 8.5 g/cm³. As for the total moment: 0.00 μB/f.u. The value obtained for the raw total energy is -2.263 eV per atom.

The space group is P4/mbm (No. 127) and the conventional cell measures 10.741, 10.741 and 3.165 Å, with angles of 90.00, 90.00 and 90.00 degrees. The inequivalent atoms are Li at (0.000, 0.500, 0.000), Li at (0.116, 0.172, 0.000), Ag at (0.000, 0.000, 0.500), Hg at (0.155, 0.655, 0.500) and Au at (0.136, 0.364, 0.500).

=====

Entry 3:
VASP calculation (PBE) on a relaxed LuAgHgAu crystal.

The calculation puts the formation energy at -427 meV/atom. The value obtained for the mass density is 13.6 g/cm³. As for the total moment: 0.00 μB/f.u. The value obtained for the raw total energy is -3.165 eV per atom.

The space group is F-43m (No. 216) and the conventional cell measures 6.919, 6.919 and 6.919 Å, with angles of 90.00, 90.00 and 90.00 degrees. The inequivalent atoms are Lu at (0.000, 0.000, 0.000), Ag at (0.000, 0.000, 0.500), Hg at (0.250, 0.250, 0.250) and Au at (0.250, 0.250, 0.750).